The following is a DFT calculation (PBE) of a relaxed structure of ThGe4Sb.

Lattice parameters (Å, degrees): 5.688 5.688 5.688 60.00 60.00 60.00
Atoms (fractional coordinates):
Th 0.000 0.000 0.000
Ge 0.128 0.624 0.624
Ge 0.624 0.128 0.624
Ge 0.624 0.624 0.128
Ge 0.624 0.624 0.624
Sb 0.250 0.250 0.250

Its space-group type is F-43m (216). Its density of states at the Fermi level is 0.875 states/eV/atom. The uncorrected formation energy comes out at -131 meV/atom.